1.
A plane-wave DFT calculation with GGA-PBE was carried out for a relaxed structure of CrTeS2N.

```
CrTeS2N
1.0
4.7569 0.0000 0.0000
0.0000 4.7569 0.0000
0.0000 0.0000 3.5744
N S Cr Te
1 2 1 1
Cartesian
0.0000 0.0000 1.7872
0.0000 2.3784 0.0000
2.3784 0.0000 0.0000
0.0000 0.0000 0.0000
2.3784 2.3784 1.7872
```

Results
SG = P4/mmm, No. 123
raw formation energy = 0.26 eV per atom
density of states at the Fermi level = 4.099 states/eV/f.u.
ΔE to the lowest computed polymorph = 0 kJ/mol of formula units
ρ = 5291 kg/m³

=====

2.
A plane-wave DFT calculation with GGA-PBE was carried out for a relaxed structure of TiCrSN2.

```
TiCrSN2
1.0
3.6403 0.0000 0.0000
0.0000 3.6403 0.0000
0.0000 0.0000 4.7606
Cr N Ti S
1 2 1 1
Cartesian
0.0000 0.0000 0.0000
1.8202 0.0000 0.0000
0.0000 1.8202 0.0000
1.8202 1.8202 2.3803
0.0000 0.0000 2.3803
```

Results
SG = P4/mmm, No. 123
raw formation energy = 0.08 eV per atom
density of states at the Fermi level = 5.266 states/eV/f.u.
ΔE to the lowest computed polymorph = 0 kJ/mol of formula units
ρ = 4210 kg/m³

=====

3.
A plane-wave DFT calculation with GGA-PBE was carried out for a relaxed structure of TiCrSN2.

```
TiCrSN2
1.0
-0.8500 -2.5566 -2.7348
2.3774 -2.5350 1.6309
-3.7712 -1.7377 2.7965
S Cr Ti N
1 1 1 2
Cartesian
-1.8856 -0.8688 1.3983
-1.1219 -3.4146 0.8463
0.0000 0.0000 0.0000
-0.4250 -1.2783 -1.3674
1.1887 -1.2675 0.8154
```

Results
SG = P4/mmm, No. 123
raw formation energy = 0.24 eV per atom
density of states at the Fermi level = 4.228 states/eV/f.u.
ΔE to the lowest computed polymorph = 74 kJ/mol of formula units
ρ = 3600 kg/m³

=====

4.
A plane-wave DFT calculation with GGA-PBE was carried out for a relaxed structure of TiCrS2N.

```
TiCrS2N
1.0
-2.8132 2.0315 3.0860
-3.1362 -3.3636 -0.6446
1.4756 -1.8695 2.5758
S N Cr Ti
2 1 1 1
Cartesian
-1.5681 -1.6818 -0.3223
-1.4066 1.0158 1.5430
0.7378 -0.9347 1.2879
0.0000 0.0000 0.0000
-2.2369 -1.6008 2.5086
```

Results
SG = P4/mmm, No. 123
raw formation energy = -0.09 eV per atom
density of states at the Fermi level = 5.601 states/eV/f.u.
ΔE to the lowest computed polymorph = 0 kJ/mol of formula units
ρ = 3907 kg/m³

=====

5.
A plane-wave DFT calculation with GGA-PBE was carried out for a relaxed structure of TiCrS2N.

```
TiCrS2N
1.0
-3.0645 3.5239 1.0374
-3.2928 -3.2340 1.2586
1.2923 0.0732 3.5690
N Cr Ti S
1 1 1 2
Cartesian
0.6461 0.0366 1.7845
-2.5325 0.1815 2.9325
0.0000 0.0000 0.0000
-1.6464 -1.6170 0.6293
-1.5323 1.7620 0.5187
```

Results
SG = P4/mmm, No. 123
raw formation energy = -0.04 eV per atom
density of states at the Fermi level = 2.958 states/eV/f.u.
ΔE to the lowest computed polymorph = 25 kJ/mol of formula units
ρ = 3402 kg/m³

=====

6.
A plane-wave DFT calculation with GGA-PBE was carried out for a relaxed structure of TlCrS2N.

```
TlCrS2N
1.0
5.2322 0.0000 0.0000
0.0000 5.2322 0.0000
0.0000 0.0000 4.2085
N S Tl Cr
1 2 1 1
Cartesian
0.0000 0.0000 2.1043
0.0000 2.6161 0.0000
2.6161 0.0000 0.0000
0.0000 0.0000 0.0000
2.6161 2.6161 2.1043
```

Results
SG = P4/mmm, No. 123
raw formation energy = 1.37 eV per atom
density of states at the Fermi level = 3.726 states/eV/f.u.
ΔE to the lowest computed polymorph = 624 kJ/mol of formula units
ρ = 4821 kg/m³

=====

7.
A plane-wave DFT calculation with GGA-PBE was carried out for a relaxed structure of TlCrS2N.

```
TlCrS2N
1.0
-0.0039 4.0927 2.5456
-2.5665 2.1529 -3.4653
-3.0396 -1.0120 1.6225
S Cr N Tl
2 1 1 1
Cartesian
-1.2833 1.0764 -1.7327
-0.0020 2.0464 1.2728
0.0000 0.0000 0.0000
-1.5198 -0.5060 0.8112
-2.8050 2.6168 0.3514
```

Results
SG = P4/mmm, No. 123
raw formation energy = 0.07 eV per atom
density of states at the Fermi level = 1.949 states/eV/f.u.
ΔE to the lowest computed polymorph = 0 kJ/mol of formula units
ρ = 6659 kg/m³

=====

8.
A plane-wave DFT calculation with GGA-PBE was carried out for a relaxed structure of VCrSN2.

```
VCrSN2
1.0
3.6373 0.0000 0.0000
0.0000 3.6373 0.0000
0.0000 0.0000 4.8893
N Cr S V
2 1 1 1
Cartesian
0.0000 1.8187 0.0000
1.8187 0.0000 0.0000
0.0000 0.0000 0.0000
0.0000 0.0000 2.4447
1.8187 1.8187 2.4447
```

Results
SG = P4/mmm, No. 123
raw formation energy = 0.34 eV per atom
density of states at the Fermi level = 4.993 states/eV/f.u.
ΔE to the lowest computed polymorph = 52 kJ/mol of formula units
ρ = 4185 kg/m³

=====

9.
A plane-wave DFT calculation with GGA-PBE was carried out for a relaxed structure of VCrSN2.

```
VCrSN2
1.0
-1.6461 1.6016 -2.9134
-3.2979 -0.3756 1.6569
0.5652 4.4716 2.1388
V N S Cr
1 2 1 1
Cartesian
0.0000 0.0000 0.0000
-1.6490 -0.1878 0.8285
-0.8231 0.8008 -1.4567
0.2826 2.2358 1.0694
-2.1894 2.8488 0.4411
```

Results
SG = P4/mmm, No. 123
raw formation energy = 0.23 eV per atom
density of states at the Fermi level = 1.823 states/eV/f.u.
ΔE to the lowest computed polymorph = 0 kJ/mol of formula units
ρ = 3942 kg/m³

=====

10.
A plane-wave DFT calculation with GGA-PBE was carried out for a relaxed structure of CrWSN2.

```
CrWSN2
1.0
3.8808 0.0000 0.0000
0.0000 3.8808 0.0000
0.0000 0.0000 5.0219
S Cr W N
1 1 1 2
Cartesian
0.0000 0.0000 2.5109
1.9404 1.9404 2.5109
0.0000 0.0000 0.0000
0.0000 1.9404 0.0000
1.9404 0.0000 0.0000
```

Results
SG = P4/mmm, No. 123
raw formation energy = 0.33 eV per atom
density of states at the Fermi level = 3.610 states/eV/f.u.
ΔE to the lowest computed polymorph = 0 kJ/mol of formula units
ρ = 6497 kg/m³

=====

11.
A plane-wave DFT calculation with GGA-PBE was carried out for a relaxed structure of CrWSN2.

```
CrWSN2
1.0
3.6814 0.0000 0.0000
0.0000 3.6814 0.0000
0.0000 0.0000 4.7230
N S W Cr
2 1 1 1
Cartesian
1.8407 0.0000 0.0000
0.0000 1.8407 0.0000
0.0000 0.0000 2.3615
1.8407 1.8407 2.3615
0.0000 0.0000 0.0000
```

Results
SG = P4/mmm, No. 123
raw formation energy = 0.96 eV per atom
density of states at the Fermi level = 2.573 states/eV/f.u.
ΔE to the lowest computed polymorph = 306 kJ/mol of formula units
ρ = 7677 kg/m³

=====

12.
A plane-wave DFT calculation with GGA-PBE was carried out for a relaxed structure of YCrSN2.

```
YCrSN2
1.0
-1.1289 -2.9058 2.1568
1.4364 -2.4335 -2.5268
4.1418 0.0807 2.2767
N Cr Y S
2 1 1 1
Cartesian
-0.5645 -1.4529 1.0784
0.7182 -1.2168 -1.2634
0.0000 0.0000 0.0000
2.2246 -2.6293 0.9533
2.0709 0.0404 1.1383
```

Results
SG = P4/mmm, No. 123
raw formation energy = -0.54 eV per atom
density of states at the Fermi level = 1.568 states/eV/f.u.
ΔE to the lowest computed polymorph = 0 kJ/mol of formula units
ρ = 4913 kg/m³